# 1
This record from Alexandria via LeMat-Bulk describes an optimized crystal structure of YMgZn. The functional is GGA-PBE.

Cell lengths 13.004, 4.254, 7.524 Å; angles 90.00, 90.00, 90.00 degrees
Space group Pmma (No. 51)
One atom of each set of equivalent atoms:
Y  0.043  0.000  0.234 x4
Y  0.250  0.000  0.852 x2
Mg  0.122  0.500  0.565 x4
Mg  0.250  0.500  0.204 x2
Zn  0.094  0.500  0.945 x4
Zn  0.250  0.000  0.443 x2

Computed properties:
Distance to the lowest polymorph of the same formula = 0.06 eV/f.u.
Mass density = 4.28 g cm⁻³
Crystal system = orthorhombic
Formation energy = -0.277 eV/atom

# 2
This record from Alexandria via LeMat-Bulk describes an optimized crystal structure of YMgZn. The functional is GGA-PBE.

Cell lengths 6.721, 6.721, 6.721 Å; angles 90.00, 90.00, 90.00 degrees
Space group F-43m (No. 216)
One atom of each set of equivalent atoms:
Y  0.000  0.000  0.000 x4
Mg  0.000  0.000  0.500 x4
Zn  0.250  0.250  0.250 x4

Computed properties:
Distance to the lowest polymorph of the same formula = 0.65 eV/f.u.
Mass density = 3.91 g cm⁻³
Crystal system = cubic
Formation energy = -0.080 eV/atom

# 3
This record from Alexandria via LeMat-Bulk describes an optimized crystal structure of Y2MgZn4. The functional is GGA-PBE.

Cell lengths 4.493, 5.607, 6.477 Å; angles 73.81, 90.00, 66.53 degrees
Space group P-1 (No. 2)
One atom of each set of equivalent atoms:
Y  0.151  0.199  0.259 x2
Mg  0.500  0.500  0.500 x1
Zn  0.154  0.191  0.756 x2
Zn  0.399  0.702  0.069 x2

Computed properties:
Mass density = 5.40 g cm⁻³
Crystal system = triclinic
Formation energy = -0.332 eV/atom

# 4
This record from Alexandria via LeMat-Bulk describes an optimized crystal structure of YMg11Zn. The functional is GGA-PBE.

Cell lengths 5.854, 14.270, 7.632 Å; angles 90.00, 111.37, 90.00 degrees
Space group C2/m (No. 12)
One atom of each set of equivalent atoms:
Y  0.000  0.000  0.000 x2
Mg  0.000  0.000  0.500 x2
Mg  0.101  0.396  0.217 x8
Mg  0.180  0.172  0.355 x8
Mg  0.250  0.250  0.000 x4
Zn  0.000  0.500  0.500 x2

Computed properties:
Mass density = 2.36 g cm⁻³
Crystal system = monoclinic
Formation energy = -0.045 eV/atom

# 5
This record from Alexandria via LeMat-Bulk describes an optimized crystal structure of YMg4Zn. The functional is GGA-PBE.

Cell lengths 8.324, 8.324, 8.324 Å; angles 90.00, 90.00, 90.00 degrees
Space group F-43m (No. 216)
One atom of each set of equivalent atoms:
Y  0.000  0.000  0.000 x4
Mg  0.125  0.125  0.375 x16
Zn  0.250  0.250  0.750 x4

Computed properties:
Mass density = 2.90 g cm⁻³
Crystal system = cubic
Formation energy = 0.088 eV/atom

# 6
This record from Alexandria via LeMat-Bulk describes an optimized crystal structure of YMg3Zn. The functional is GGA-PBE.

Cell lengths 6.169, 6.169, 6.169 Å; angles 90.00, 90.00, 90.00 degrees
Space group Pm-3m (No. 221)
One atom of each set of equivalent atoms:
Y  0.000  0.000  0.000 x1
Mg  0.000  0.000  0.500 x3
Zn  0.500  0.500  0.500 x1

Computed properties:
Distance to the lowest polymorph of the same formula = 6.21 eV/f.u.
Mass density = 1.61 g cm⁻³
Crystal system = cubic
Formation energy = 1.105 eV/atom